# Cs8K2Au3, relaxed, DFT PBE
# E_tot = -1.57 eV/atom
# Formation enthalpy at 0 K = -0.12 eV/atom
data_Cs8K2Au3
_cell_length_a 12.768
_cell_length_b 12.768
_cell_length_c 9.245
_cell_angle_alpha 106.15
_cell_angle_beta 106.15
_cell_angle_gamma 47.52
_space_group_name_H-M_alt 'P 1'
_space_group_IT_number 1
_space_group_name_Hall 'P 1'
loop_
_atom_site_label
_atom_site_type_symbol
_atom_site_fract_x
_atom_site_fract_y
_atom_site_fract_z
Cs1 Cs 0.115 0.115 0.971
Cs2 Cs 0.166 0.670 0.603
Cs3 Cs 0.330 0.834 0.397
Cs4 Cs 0.411 0.411 0.102
Cs5 Cs 0.589 0.589 0.898
Cs6 Cs 0.670 0.166 0.603
Cs7 Cs 0.834 0.330 0.397
Cs8 Cs 0.885 0.885 0.029
K1 K 0.251 0.251 0.631
K2 K 0.749 0.749 0.369
Au1 Au 0.238 0.762 0.000
Au2 Au 0.500 0.500 0.500
Au3 Au 0.762 0.238 0.000